Entry 1:
The following is a DFT calculation (PBE) of Dy3Y3Ho2 after structural relaxation.

The calculation puts the energy relative to the elements at 0.04 eV/f.u. Its uncorrected energy is -84.6 eV/cell. The total moment is 0.02 μB per atom.

The space group is Amm2 (No. 38) and the conventional cell measures 5.630, 7.239 and 12.553 Å, with angles of 90.00, 90.00 and 90.00 degrees. The distinct sites, in fractional coordinates, are Dy at (0.000, 0.000, 0.000), Dy at (0.500, 0.250, 0.417), Y at (0.000, 0.249, 0.250), Y at (0.500, 0.000, 0.666), Ho at (0.000, 0.000, 0.499) and Ho at (0.500, 0.000, 0.166).

***

Entry 2:
The following is a DFT calculation (PBE) of DyHoZn6 after structural relaxation.

The calculation puts the energy relative to the elements at -2.34 eV/f.u. Its uncorrected energy is -19.1 eV/cell. The total moment is 0.00 μB per atom.

The space group is Pmm2 (No. 25) and the conventional cell measures 4.664, 6.569 and 4.665 Å, with angles of 90.00, 90.00 and 90.00 degrees. The distinct sites, in fractional coordinates, are Dy at (0.000, 0.000, 0.000), Ho at (0.500, 0.500, 0.509), Zn at (0.000, 0.250, 0.499), Zn at (0.000, 0.500, 0.001), Zn at (0.500, 0.000, 0.508) and Zn at (0.500, 0.250, 0.009).